1.
Below is an optimized crystal structure of BeNi, with properties calculated at the GGA-PBE level.

```
12
Lattice="-1.124 -2.417 5.140 5.497 0.854 1.604 -1.428 5.191 2.129" Properties=species:S:1:pos:R:3 pbc="T T T"
Be 3.409 3.236 2.268
Be 0.660 2.809 1.466
Be 1.906 -1.386 4.657
Be -0.919 0.089 3.102
Be 2.468 -0.177 2.087
Be -1.633 2.685 4.167
Ni 3.561 -0.568 3.773
Ni 1.678 4.321 2.399
Ni 0.812 -0.995 2.971
Ni 2.392 1.725 1.334
Ni -0.995 1.991 2.350
Ni -1.557 0.783 4.920
```

DOS at the Fermi energy	6.64	states/eV/cell
magnetic moment	0.000	μB per formula unit
formation enthalpy at 0 K	0.885	eV per atom
space group	No. 223

***

2.
Below is an optimized crystal structure of AcLa6Tb8, with properties calculated at the GGA-PBE level.

```
15
Lattice="8.001 0.192 3.970 2.543 7.589 3.970 0.260 0.192 8.928" Properties=species:S:1:pos:R:3 pbc="T T T"
Tb 4.211 6.811 7.103
Tb 7.593 5.958 6.857
Tb 6.237 4.603 9.737
Tb 3.212 2.016 10.010
Tb 7.892 2.475 6.795
Tb 2.913 5.499 10.072
Tb 4.567 3.370 7.130
Tb 6.593 1.162 9.764
La 2.126 4.074 4.601
La 8.515 7.143 10.837
La 4.863 1.942 3.855
La 2.289 0.831 6.030
La 5.941 6.031 13.012
La 8.678 3.899 12.267
Ac 0.000 0.000 0.000
```

DOS at the Fermi energy	24.41	states/eV/cell
magnetic moment	0.001	μB per formula unit
formation enthalpy at 0 K	0.127	eV per atom
space group	No. 148

***

3.
Below is an optimized crystal structure of YInCl2, with properties calculated at the GGA-PBE level.

```
4
Lattice="2.049 0.000 10.191 -1.024 1.774 10.191 -1.024 -1.774 10.191" Properties=species:S:1:pos:R:3 pbc="T T T"
Y 0.000 0.000 15.287
Cl 0.000 0.000 3.259
Cl 0.000 0.000 27.314
In 0.000 0.000 0.000
```

DOS at the Fermi energy	2.28	states/eV/cell
magnetic moment	0.000	μB per formula unit
raw formation energy	-1.292	eV per atom
space group	No. 166
distance to the lowest polymorph of the same formula	0.000	eV per atom

***

4.
Below is an optimized crystal structure of BeHgOs2, with properties calculated at the GGA-PBE level.

```
4
Lattice="-2.254 0.116 1.643 2.493 -0.504 1.150 1.256 8.733 1.107" Properties=species:S:1:pos:R:3 pbc="T T T"
Os 0.460 2.171 1.696
Os 0.028 0.196 0.025
Hg 1.035 6.168 2.203
Be 0.601 4.176 0.529
```

DOS at the Fermi energy	3.20	states/eV/cell
magnetic moment	0.843	μB per formula unit
formation enthalpy at 0 K	0.659	eV per atom
space group	No. 35
distance to the lowest polymorph of the same formula	0.388	eV per atom

***

5.
Below is an optimized crystal structure of AcNiBC, with properties calculated at the GGA-PBE level.

```
8
Lattice="-0.418 3.916 -0.094 -1.153 -0.213 -3.761 -7.401 -0.735 2.311" Properties=species:S:1:pos:R:3 pbc="T T T"
Ac -6.622 -0.707 0.007
Ac -1.564 1.823 0.376
C -1.926 -0.241 -1.459
C -6.260 1.357 1.843
Ni -3.700 -0.368 1.156
Ni -4.486 1.484 -0.772
B -3.337 -0.381 -1.018
B -4.849 1.497 1.402
```

DOS at the Fermi energy	2.47	states/eV/cell
magnetic moment	0.000	μB per formula unit
formation enthalpy at 0 K	-0.183	eV per atom
space group	No. 129

***

6.
Below is an optimized crystal structure of CsPrSiO4, with properties calculated at the GGA-PBE level.

```
14
Lattice="5.870 0.000 -0.045 0.000 5.834 0.000 -2.358 0.000 7.791" Properties=species:S:1:pos:R:3 pbc="T T T"
O 1.856 4.376 1.687
O 1.142 4.376 4.234
O 2.369 1.459 3.511
O 1.656 1.459 6.058
O -0.471 5.674 2.534
O -0.471 3.077 2.534
O 3.983 2.757 5.211
O 3.983 0.160 5.211
Cs 1.936 4.376 7.195
Cs 1.575 1.459 0.550
Pr 3.467 4.376 3.507
Pr 0.045 1.459 4.238
Si 0.556 4.376 2.685
Si 2.956 1.459 5.060
```

DOS at the Fermi energy	0.00	states/eV/cell
magnetic moment	0.000	μB per formula unit
raw formation energy	-2.831	eV per atom
space group	No. 11

***

7.
Below is an optimized crystal structure of CsRb3Ti, with properties calculated at the GGA-PBE level.

```
5
Lattice="-4.003 -5.371 -3.092 -0.014 -3.674 6.399 -6.198 3.477 1.983" Properties=species:S:1:pos:R:3 pbc="T T T"
Rb -2.002 -2.686 -1.546
Rb -0.007 -1.837 3.199
Rb -3.099 1.739 0.991
Ti 0.000 0.000 0.000
Cs -5.108 -2.784 2.645
```

DOS at the Fermi energy	4.70	states/eV/cell
magnetic moment	4.019	μB per formula unit
formation enthalpy at 0 K	0.742	eV per atom
space group	No. 221
distance to the lowest polymorph of the same formula	0.000	eV per atom

***

8.
Below is an optimized crystal structure of ZrAlSnOs2, with properties calculated at the GGA-PBE level.

```
5
Lattice="-2.577 -1.290 -3.499 0.116 -4.532 1.585 -3.728 0.766 2.463" Properties=species:S:1:pos:R:3 pbc="T T T"
Os -1.288 -0.645 -1.750
Os -1.864 0.383 1.231
Zr -3.094 -2.528 0.275
Sn 0.058 -2.266 0.793
Al 0.000 0.000 0.000
```

DOS at the Fermi energy	2.98	states/eV/cell
magnetic moment	0.000	μB per formula unit
formation enthalpy at 0 K	0.972	eV per atom
space group	No. 123

***

9.
Below is an optimized crystal structure of Pm4CdIn2Au, with properties calculated at the GGA-PBE level.

```
8
Lattice="-3.719 2.126 -3.292 -4.909 1.216 1.898 -0.078 9.195 1.593" Properties=species:S:1:pos:R:3 pbc="T T T"
Au -4.353 6.269 0.099
Pm -1.166 6.054 0.793
Pm -5.358 3.366 -0.640
Pm -3.348 9.171 0.838
Pm -7.540 6.484 -0.594
In -2.220 3.010 0.018
In -6.487 9.528 0.181
Cd 0.000 0.000 0.000
```

DOS at the Fermi energy	9.55	states/eV/cell
magnetic moment	0.894	μB per formula unit
formation enthalpy at 0 K	-0.502	eV per atom
space group	No. 166

***

10.
Below is an optimized crystal structure of Be9Re2W, with properties calculated at the GGA-PBE level.

```
12
Lattice="4.173 0.000 1.242 1.902 3.715 1.242 0.088 0.054 7.338" Properties=species:S:1:pos:R:3 pbc="T T T"
Be 2.649 0.332 6.364
Be 2.115 1.293 8.157
Be 3.609 2.207 6.991
Be 1.502 2.207 6.364
Be 3.081 1.884 4.911
Be 4.660 1.562 3.458
Be 4.047 2.475 1.665
Be 2.554 1.562 2.831
Be 3.514 3.436 3.458
Re 5.227 3.196 5.332
Re 0.935 0.572 4.490
W 0.000 0.000 0.000
```

DOS at the Fermi energy	3.81	states/eV/cell
magnetic moment	0.000	μB per formula unit
formation enthalpy at 0 K	-0.225	eV per atom
space group	No. 166